[1]
Tb2Pm4Er: optimized geometry, PBE.

POSCAR file:
```
Tb2Pm4Er
1.0
5.3396 0.0000 0.0000
0.0000 11.3348 0.0000
0.0000 0.0000 15.6006
Er Pm Tb
4 16 8
Direct
0.5000 0.0000 0.0000
0.5000 0.5000 0.5000
0.0000 0.0000 0.5000
0.0000 0.5000 0.0000
0.0000 0.7042 0.5701
0.0000 0.5983 0.8062
0.5000 0.7958 0.4299
0.0000 0.0983 0.6938
0.0000 0.9017 0.3062
0.0000 0.7958 0.0701
0.0000 0.2042 0.9299
0.5000 0.7042 0.9299
0.5000 0.4017 0.3062
0.5000 0.2042 0.5701
0.0000 0.4017 0.1938
0.0000 0.2958 0.4299
0.5000 0.9017 0.1938
0.5000 0.5983 0.6938
0.5000 0.0983 0.8062
0.5000 0.2958 0.0701
0.5000 0.3929 0.8439
0.5000 0.1071 0.3439
0.0000 0.6071 0.3439
0.0000 0.1071 0.1561
0.5000 0.6071 0.1561
0.0000 0.8929 0.8439
0.0000 0.3929 0.6561
0.5000 0.8929 0.6561
```

E above lowest polymorph   36 meV per atom
Calculated total energy   -126.8 eV for the cell shown
Fermi-level density of states   9.6 states/eV/f.u.


[2]
TbPm8Er2: optimized geometry, PBE.

POSCAR file:
```
TbPm8Er2
1.0
-4.3124 1.7908 -7.2127
-3.6447 -5.9823 -6.0551
-8.4502 -2.9115 -2.4195
Pm Tb Er
8 1 2
Direct
0.7762 0.6086 0.6086
0.2238 0.3914 0.3914
0.8016 0.6489 0.1669
0.2933 0.7407 0.7407
0.1984 0.3511 0.8331
0.1984 0.8331 0.3511
0.8016 0.1669 0.6489
0.7067 0.2593 0.2593
0.0000 0.0000 0.0000
0.5325 0.8551 0.8551
0.4675 0.1449 0.1449
```

E above lowest polymorph   39 meV per atom
Calculated total energy   -49.5 eV for the cell shown
Fermi-level density of states   15.6 states/eV/f.u.


no.,energy relative to the elements (eV/atom)
1,0.1611
2,0.2095